Entry 1:
The following is a DFT calculation (PBE-GGA) of a relaxed structure of Ce5TlGa2.

Values from the calculation:
- V (Å³ per cell) = 427
- offset from the most stable computed form (eV/f.u.) = 1.93
- energy relative to the elements (eV/atom) = -0.03
- density of states at the Fermi level (states/eV/f.u.) = 19.49
- SG = No. 63
- VASP energy (Ry/atom) = -0.352

Cell lengths 7.258, 7.258, 11.829 Å; angles 90.00, 90.00, 136.76 degrees
Element x y z (fractional)
Ce: 0.004 0.996 0.636
Ce: 0.004 0.996 0.864
Ce: 0.349 0.651 0.750
Ce: 0.424 0.576 0.067
Ce: 0.424 0.576 0.433
Ce: 0.576 0.424 0.567
Ce: 0.576 0.424 0.933
Ce: 0.651 0.349 0.250
Ce: 0.996 0.004 0.136
Ce: 0.996 0.004 0.364
Tl: 0.258 0.742 0.250
Tl: 0.742 0.258 0.750
Ga: 0.199 0.801 0.501
Ga: 0.199 0.801 0.999
Ga: 0.801 0.199 0.001
Ga: 0.801 0.199 0.499

---

Entry 2:
The following is a DFT calculation (PBE-GGA) of a relaxed structure of Ce15TlGa4.

Values from the calculation:
- V (Å³ per cell) = 516
- energy relative to the elements (eV/atom) = -0.22
- density of states at the Fermi level (states/eV/f.u.) = 58.67
- SG = No. 123
- VASP energy (Ry/atom) = -0.396

Cell lengths 4.697, 4.697, 23.404 Å; angles 90.00, 90.00, 90.00 degrees
Element x y z (fractional)
Ce: 0.000 0.000 0.000
Ce: 0.000 0.000 0.205
Ce: 0.000 0.000 0.402
Ce: 0.000 0.000 0.598
Ce: 0.000 0.000 0.795
Ce: 0.000 0.500 0.107
Ce: 0.000 0.500 0.303
Ce: 0.000 0.500 0.500
Ce: 0.000 0.500 0.697
Ce: 0.000 0.500 0.893
Ce: 0.500 0.000 0.107
Ce: 0.500 0.000 0.303
Ce: 0.500 0.000 0.500
Ce: 0.500 0.000 0.697
Ce: 0.500 0.000 0.893
Tl: 0.500 0.500 0.000
Ga: 0.500 0.500 0.204
Ga: 0.500 0.500 0.401
Ga: 0.500 0.500 0.599
Ga: 0.500 0.500 0.796

---

Entry 3:
The following is a DFT calculation (PBE-GGA) of a relaxed structure of Ce6Tl2Ga.

Values from the calculation:
- V (Å³ per cell) = 221
- offset from the most stable computed form (eV/f.u.) = 0.00
- energy relative to the elements (eV/atom) = -0.16
- density of states at the Fermi level (states/eV/f.u.) = 23.29
- SG = No. 191
- VASP energy (Ry/atom) = -0.366

Cell lengths 9.093, 9.093, 3.092 Å; angles 90.00, 90.00, 120.00 degrees
Element x y z (fractional)
Ce: 0.000 0.316 0.000
Ce: 0.000 0.684 0.000
Ce: 0.316 0.000 0.000
Ce: 0.316 0.316 0.000
Ce: 0.684 0.000 0.000
Ce: 0.684 0.684 0.000
Tl: 0.333 0.667 0.500
Tl: 0.667 0.333 0.500
Ga: 0.000 0.000 0.500

---

Entry 4:
The following is a DFT calculation (PBE-GGA) of a relaxed structure of Ce3TlGa2.

Values from the calculation:
- V (Å³ per cell) = 147
- energy relative to the elements (eV/atom) = -0.41
- density of states at the Fermi level (states/eV/f.u.) = 12.51
- SG = No. 123
- VASP energy (Ry/atom) = -0.351

Cell lengths 3.317, 3.317, 13.346 Å; angles 90.00, 90.00, 90.00 degrees
Element x y z (fractional)
Ce: 0.000 0.000 0.000
Ce: 0.000 0.000 0.313
Ce: 0.000 0.000 0.687
Tl: 0.500 0.500 0.500
Ga: 0.500 0.500 0.159
Ga: 0.500 0.500 0.841

---

Entry 5:
The following is a DFT calculation (PBE-GGA) of a relaxed structure of Ce3Tl2Ga.

Values from the calculation:
- V (Å³ per cell) = 158
- energy relative to the elements (eV/atom) = -0.32
- density of states at the Fermi level (states/eV/f.u.) = 16.03
- SG = No. 123
- VASP energy (Ry/atom) = -0.337

Cell lengths 3.391, 3.391, 13.776 Å; angles 90.00, 90.00, 90.00 degrees
Element x y z (fractional)
Ce: 0.000 0.000 0.000
Ce: 0.000 0.000 0.352
Ce: 0.000 0.000 0.648
Tl: 0.500 0.500 0.175
Tl: 0.500 0.500 0.825
Ga: 0.500 0.500 0.500

---

Entry 6:
The following is a DFT calculation (PBE-GGA) of a relaxed structure of Ce5Tl4Ga.

Values from the calculation:
- V (Å³ per cell) = 283
- energy relative to the elements (eV/atom) = -0.26
- density of states at the Fermi level (states/eV/f.u.) = 33.23
- SG = No. 123
- VASP energy (Ry/atom) = -0.329

Cell lengths 3.904, 3.904, 18.571 Å; angles 90.00, 90.00, 90.00 degrees
Element x y z (fractional)
Ce: 0.000 0.000 0.000
Ce: 0.000 0.000 0.211
Ce: 0.000 0.000 0.426
Ce: 0.000 0.000 0.574
Ce: 0.000 0.000 0.789
Tl: 0.500 0.500 0.105
Tl: 0.500 0.500 0.318
Tl: 0.500 0.500 0.682
Tl: 0.500 0.500 0.895
Ga: 0.500 0.500 0.500

---

Entry 7:
The following is a DFT calculation (PBE-GGA) of a relaxed structure of Ce12TlGa6.

Values from the calculation:
- V (Å³ per cell) = 500
- energy relative to the elements (eV/atom) = -0.12
- density of states at the Fermi level (states/eV/f.u.) = 56.85
- SG = No. 166
- VASP energy (Ry/atom) = -0.364

Cell lengths 8.308, 8.308, 8.308 Å; angles 105.11, 105.11, 105.11 degrees
Element x y z (fractional)
Ce: 0.000 0.396 0.604
Ce: 0.000 0.604 0.396
Ce: 0.135 0.135 0.403
Ce: 0.135 0.403 0.135
Ce: 0.396 0.000 0.604
Ce: 0.396 0.604 0.000
Ce: 0.403 0.135 0.135
Ce: 0.597 0.865 0.865
Ce: 0.604 0.000 0.396
Ce: 0.604 0.396 0.000
Ce: 0.865 0.597 0.865
Ce: 0.865 0.865 0.597
Tl: 0.500 0.500 0.500
Ga: 0.195 0.804 0.804
Ga: 0.196 0.196 0.805
Ga: 0.196 0.805 0.196
Ga: 0.804 0.195 0.804
Ga: 0.804 0.804 0.195
Ga: 0.805 0.196 0.196

---

Entry 8:
The following is a DFT calculation (PBE-GGA) of a relaxed structure of Ce5Tl3Ga3.

Values from the calculation:
- V (Å³ per cell) = 294
- energy relative to the elements (eV/atom) = 0.05
- density of states at the Fermi level (states/eV/f.u.) = 31.10
- SG = No. 189
- VASP energy (Ry/atom) = -0.303

Cell lengths 10.092, 10.092, 3.334 Å; angles 90.00, 90.00, 120.00 degrees
Element x y z (fractional)
Ce: 0.000 0.345 0.000
Ce: 0.333 0.667 0.000
Ce: 0.345 0.000 0.000
Ce: 0.655 0.655 0.000
Ce: 0.667 0.333 0.000
Tl: 0.000 0.625 0.500
Tl: 0.375 0.375 0.500
Tl: 0.625 0.000 0.500
Ga: 0.000 0.854 0.000
Ga: 0.146 0.146 0.000
Ga: 0.854 0.000 0.000

---

Entry 9:
The following is a DFT calculation (PBE-GGA) of a relaxed structure of CeTlZnGa.

Values from the calculation:
- V (Å³ per cell) = 90
- energy relative to the elements (eV/atom) = -0.19
- density of states at the Fermi level (states/eV/f.u.) = 4.53
- SG = No. 216
- VASP energy (Ry/atom) = -0.246

Cell lengths 5.027, 5.027, 5.027 Å; angles 60.00, 60.00, 60.00 degrees
Element x y z (fractional)
Ce: 0.000 0.000 0.000
Tl: 0.500 0.500 0.500
Zn: 0.750 0.750 0.750
Ga: 0.250 0.250 0.250

---

Entry 10:
The following is a DFT calculation (PBE-GGA) of a relaxed structure of CeTm2Ga6.

Values from the calculation:
- V (Å³ per cell) = 200
- offset from the most stable computed form (eV/f.u.) = 1.16
- energy relative to the elements (eV/atom) = -0.45
- density of states at the Fermi level (states/eV/f.u.) = 9.63
- SG = No. 71
- VASP energy (Ry/atom) = -0.303

Cell lengths 7.737, 7.737, 7.737 Å; angles 147.68, 125.39, 64.90 degrees
Element x y z (fractional)
Ce: 0.000 0.000 0.000
Tm: 0.375 0.875 0.500
Tm: 0.625 0.125 0.500
Ga: 0.010 0.313 0.697
Ga: 0.317 0.500 0.817
Ga: 0.383 0.687 0.697
Ga: 0.617 0.313 0.303
Ga: 0.683 0.500 0.183
Ga: 0.990 0.687 0.303

---

Entry 11:
The following is a DFT calculation (PBE-GGA) of a relaxed structure of CeTm3Ga4.

Values from the calculation:
- V (Å³ per cell) = 180
- energy relative to the elements (eV/atom) = -0.54
- density of states at the Fermi level (states/eV/f.u.) = 7.48
- SG = No. 123
- VASP energy (Ry/atom) = -0.329

Cell lengths 5.001, 5.001, 7.195 Å; angles 90.00, 90.00, 90.00 degrees
Element x y z (fractional)
Ce: 0.000 0.000 0.000
Tm: 0.000 0.000 0.500
Tm: 0.500 0.500 0.000
Tm: 0.500 0.500 0.500
Ga: 0.000 0.500 0.259
Ga: 0.000 0.500 0.741
Ga: 0.500 0.000 0.259
Ga: 0.500 0.000 0.741

---

Entry 12:
The following is a DFT calculation (PBE-GGA) of a relaxed structure of Ce2TmGa6.

Values from the calculation:
- V (Å³ per cell) = 194
- offset from the most stable computed form (eV/f.u.) = 0.00
- energy relative to the elements (eV/atom) = -0.59
- density of states at the Fermi level (states/eV/f.u.) = 12.94
- SG = No. 191
- VASP energy (Ry/atom) = -0.325

Cell lengths 7.366, 7.366, 4.128 Å; angles 90.00, 90.00, 120.00 degrees
Element x y z (fractional)
Ce: 0.333 0.667 0.000
Ce: 0.667 0.333 0.000
Tm: 0.000 0.000 0.000
Ga: 0.000 0.332 0.500
Ga: 0.000 0.668 0.500
Ga: 0.332 0.000 0.500
Ga: 0.332 0.332 0.500
Ga: 0.668 0.000 0.500
Ga: 0.668 0.668 0.500